Entry 1:
The following is a DFT calculation (GGA-PBE) of a geometry-optimized RbSc2In4 structure.

The density comes out at 3.92 g/cm3. The value obtained for the calculated formation energy is 0.65 eV per atom.

Lattice parameters (Å, degrees): 5.8852 5.8852 8.8046 70.48 70.48 90.00
Positions (direct):
Sc 0.5878 0.5878 0.8243
Sc 0.4122 0.4122 0.1757
Rb 0.0000 0.0000 0.0000
In 0.7802 0.7802 0.4397
In 0.2198 0.2198 0.5603
In 0.0000 0.5000 0.0000
In 0.5000 0.0000 0.0000



Entry 2:
The following is a DFT calculation (GGA-PBE) of a geometry-optimized CsTiPt3 structure.

The value obtained for the polymorph energy (0 for the lowest one) is 1841 meV per atom. The density comes out at 9.42 g/cm3. The value obtained for the calculated formation energy is 2.14 eV per atom.

Lattice parameters (Å, degrees): 5.1304 5.1304 5.1304 90.00 90.00 90.00
Positions (direct):
Cs 0.0000 0.0000 0.0000
Pt 0.0000 0.5000 0.0000
Pt 0.0000 0.0000 0.5000
Pt 0.5000 0.0000 0.0000
Ti 0.5000 0.5000 0.5000